# 1
## Fe2SbSe (GGA-PBE)

Data for a geometry-optimized Fe2SbSe structure.

abc: 3.2786 5.2514 4.0429
angles: 90.00 90.00 90.00
Site moments in Bohr magnetons follow the coordinates.
Atoms (fractional coordinates):
Fe1 0.0000 0.0000 0.0000  2.36
Fe2 0.5000 0.5000 0.0000  2.79
Sb1 0.5000 0.0000 0.5000  -0.05
Se1 0.0000 0.5000 0.5000  0.08

Results
Its space group is Pmmm. The calculation puts the uncorrected formation energy at 0.47 eV/atom. As for the total magnetization: 5.14 μB/f.u. The energy above the most stable polymorph in this dataset is 501.3 meV/atom.

# 2
## LiRuRh (GGA-PBE)

Data for a geometry-optimized LiRuRh structure.

abc: 5.4380 4.5387 4.5387
angles: 61.78 107.57 72.43
Atoms (fractional coordinates):
Ru1 0.7500 0.8220 0.3220
Ru2 0.2500 0.1780 0.6780
Rh1 0.7500 0.1596 0.6596
Rh2 0.2500 0.8404 0.3404
Li1 0.7500 0.4915 0.9915
Li2 0.2500 0.5085 0.0085

Results
Its space group is C2/c. The calculation puts the formation energy at 0.05 eV per atom. As for the total magnetization: 0.00 μB/f.u. The energy above the most stable polymorph in this dataset is 23.0 meV/atom.

# 3
## Ti2Be9Pd (GGA-PBE)

Data for a geometry-optimized Ti2Be9Pd structure.

abc: 4.4335 4.4335 7.5667
angles: 72.96 72.96 60.00
Site moments in Bohr magnetons follow the coordinates.
Atoms (fractional coordinates):
Ti1 0.8524 0.8524 0.4428  0.71
Ti2 0.1476 0.1476 0.5572  0.71
Be1 0.6654 0.6654 0.0037  0.00
Be2 0.3346 0.3346 0.9963  0.00
Be3 0.5000 0.5000 0.5000  -0.02
Be4 0.4186 0.4186 0.2463  0.01
Be5 0.9164 0.4186 0.2463  0.01
Be6 0.4186 0.9164 0.2463  0.01
Be7 0.5814 0.5814 0.7537  0.01
Be8 0.5814 0.0836 0.7537  0.01
Be9 0.0836 0.5814 0.7537  0.01
Pd1 0.0000 0.0000 0.0000  0.01

Results
Its space group is R-3m. The calculation puts the formation energy at -0.18 eV per atom. As for the total magnetization: 1.84 μB/f.u.

Number 1: density of states at the Fermi level 1.098 states/eV per atom. Number 2: density of states at the Fermi level 1.156 states/eV per atom. Number 3: density of states at the Fermi level 0.241 states/eV per atom.